No. 1
DFT (PBE-GGA) results for ZnCu3O6 after structural relaxation.

Results
The uncorrected formation energy is -0.3651 eV/atom.

a = 5.504 Å, b = 5.504 Å, c = 4.754 Å
α = 109.19°, β = 109.19°, γ = 57.90°
Element x y z (fractional)
Zn1 0.000 0.000 0.000
Cu1 0.235 0.235 0.610
Cu2 0.500 0.500 0.500
Cu3 0.765 0.765 0.390
O1 0.161 0.636 0.639
O2 0.204 0.204 0.979
O3 0.364 0.839 0.361
O4 0.636 0.161 0.639
O5 0.796 0.796 0.021
O6 0.839 0.364 0.361

---

No. 2
DFT (PBE-GGA) results for Li5Pm2Si3 after structural relaxation.

Results
The uncorrected formation energy is -0.1997 eV/atom.

a = 4.050 Å, b = 4.050 Å, c = 12.277 Å
α = 90.00°, β = 90.00°, γ = 90.00°
Element x y z (fractional)
Li1 0.000 0.000 0.000
Li2 0.000 0.000 0.500
Li3 0.000 0.500 0.337
Li4 0.500 0.000 0.663
Li5 0.500 0.500 0.500
Pm1 0.000 0.500 0.795
Pm2 0.500 0.000 0.205
Si1 0.000 0.500 0.127
Si2 0.500 0.000 0.873
Si3 0.500 0.500 0.000

---

No. 3
DFT (PBE-GGA) results for Pr3CdPt after structural relaxation.

Results
The calculation puts the energy relative to the elements at -0.545 eV/atom.

a = 5.963 Å, b = 6.372 Å, c = 8.854 Å
α = 100.58°, β = 103.41°, γ = 110.39°
Element x y z (fractional)
Pr1 0.083 0.194 0.308
Pr2 0.297 0.804 0.101
Pr3 0.308 0.443 0.739
Pr4 0.692 0.557 0.261
Pr5 0.703 0.196 0.899
Pr6 0.917 0.806 0.692
Cd1 0.315 0.776 0.485
Cd2 0.685 0.224 0.515
Pt1 0.228 0.208 0.998
Pt2 0.772 0.792 0.002

---

No. 4
DFT (PBE-GGA) results for Nd2YBr after structural relaxation.

Results
For the energy above the lowest structure with this stoichiometry, the calculation gives 0.075 eV/atom. The uncorrected formation energy is -0.4727 eV/atom.

a = 3.599 Å, b = 3.599 Å, c = 9.740 Å
α = 90.00°, β = 90.00°, γ = 90.00°
Element x y z (fractional)
Nd1 0.000 0.000 0.233
Nd2 0.000 0.000 0.767
Y1 0.500 0.500 0.500
Br1 0.500 0.500 0.000

---

No. 5
DFT (PBE-GGA) results for Tm12Zn6In after structural relaxation.

Results
The calculation puts the energy relative to the elements at -0.215 eV/atom.

a = 8.541 Å, b = 8.541 Å, c = 8.541 Å
α = 109.47°, β = 109.47°, γ = 109.47°
Element x y z (fractional)
Tm1 0.096 0.288 0.808
Tm2 0.192 0.480 0.288
Tm3 0.192 0.904 0.712
Tm4 0.288 0.192 0.480
Tm5 0.288 0.808 0.096
Tm6 0.480 0.288 0.192
Tm7 0.520 0.712 0.808
Tm8 0.712 0.192 0.904
Tm9 0.712 0.808 0.520
Tm10 0.808 0.096 0.288
Tm11 0.808 0.520 0.712
Tm12 0.904 0.712 0.192
Zn1 0.125 0.500 0.625
Zn2 0.375 0.875 0.500
Zn3 0.500 0.375 0.875
Zn4 0.500 0.625 0.125
Zn5 0.625 0.125 0.500
Zn6 0.875 0.500 0.375
In1 0.000 0.000 0.000

---

No. 6
DFT (PBE-GGA) results for TaMoH2Au after structural relaxation.

a = 3.790 Å, b = 3.790 Å, c = 5.029 Å
α = 90.00°, β = 90.00°, γ = 90.00°
Element x y z (fractional)
Ta1 0.000 0.000 0.000
Mo1 0.000 0.000 0.500
H1 0.000 0.500 0.500
H2 0.500 0.000 0.500
Au1 0.500 0.500 0.000

---

Fermi-level density of states readings, ordered: 6.5, 6.2, 9.5, 3.7, 12.9, 2.6 states/eV/cell
E_tot readings, ordered: -4.70, -3.73, -4.80, -4.89, -3.59, -5.79 eV per atom